# HfCrB

Crystalline HfCrB at its relaxed geometry (GGA-PBE, Alexandria).

The structure in POSCAR format:
```
HfCrB
1.0
-3.2586 -2.7299 0.1124
2.1851 0.1676 -4.7929
2.3224 -3.4811 -0.7564
B Hf Cr
2 2 2
direct
0.7721 0.0000 0.2279 B
0.2722 0.0000 0.7278 B
0.3082 0.5000 0.6918 Hf
0.8081 0.5000 0.1919 Hf
0.7674 0.0000 0.7327 Cr
0.2673 0.0000 0.2326 Cr
```

Output
space group = Pmm2 (25)
crystal system = orthorhombic
polymorph energy (0 for the lowest one) = 421 meV/atom
calculated formation energy = -0.0117 eV/atom

---

# HfCrB

Crystalline HfCrB at its relaxed geometry (GGA-PBE, Alexandria).

The structure in POSCAR format:
```
HfCrB
1.0
4.6777 0.0000 -0.0001
0.0000 3.0941 0.0000
-0.8270 0.0000 10.5070
B Hf Cr
4 4 4
direct
0.3980 0.0000 0.7328 B
0.3980 0.5000 0.2328 B
0.6020 0.0000 0.2672 B
0.6020 0.5000 0.7672 B
0.8674 0.5000 0.1347 Hf
0.8674 0.0000 0.6347 Hf
0.1326 0.0000 0.3653 Hf
0.1326 0.5000 0.8653 Hf
0.3507 0.5000 0.5776 Cr
0.6493 0.0000 0.9224 Cr
0.6493 0.5000 0.4224 Cr
0.3507 0.0000 0.0776 Cr
```

Output
space group = C2/m (12)
crystal system = monoclinic
polymorph energy (0 for the lowest one) = 64 meV/atom
calculated formation energy = -0.3687 eV/atom

---

# HfCrB

Crystalline HfCrB at its relaxed geometry (GGA-PBE, Alexandria).

The structure in POSCAR format:
```
HfCrB
1.0
-2.7523 0.3537 -1.6803
-2.3837 -8.6234 2.0891
-2.3296 1.6526 4.1636
Hf Cr B
4 4 4
direct
0.0000 0.6969 0.2500 Hf
0.0000 0.3031 0.7500 Hf
0.5000 0.8031 0.7500 Hf
0.5000 0.1969 0.2500 Hf
0.0000 0.0000 0.0000 Cr
0.0000 0.0000 0.5000 Cr
0.5000 0.5000 0.0000 Cr
0.5000 0.5000 0.5000 Cr
0.5000 0.9080 0.2500 B
0.5000 0.0920 0.7500 B
0.0000 0.4080 0.2500 B
0.0000 0.5920 0.7500 B
```

Output
space group = Cmcm (63)
crystal system = orthorhombic
polymorph energy (0 for the lowest one) = 37 meV/atom
calculated formation energy = -0.3963 eV/atom

---

# HfCrB3

Crystalline HfCrB3 at its relaxed geometry (GGA-PBE, Alexandria).

The structure in POSCAR format:
```
HfCrB3
1.0
3.8044 0.0000 0.0000
0.0000 3.8044 0.0000
0.0000 0.0000 3.8044
Hf Cr B
1 1 3
direct
0.5000 0.5000 0.5000 Hf
0.0000 0.0000 0.0000 Cr
0.5000 0.0000 0.0000 B
0.0000 0.5000 0.0000 B
0.0000 0.0000 0.5000 B
```

Output
space group = Pm-3m (221)
crystal system = cubic
polymorph energy (0 for the lowest one) = 956 meV/atom
calculated formation energy = 0.2498 eV/atom

---

# LiHfCr2B

Crystalline LiHfCr2B at its relaxed geometry (GGA-PBE, Alexandria).

The structure in POSCAR format:
```
LiHfCr2B
1.0
-2.8453 2.0775 -1.9655
1.2690 -1.3462 -3.2599
-2.5127 -3.1400 0.3185
Hf Cr Li B
1 2 1 1
direct
0.5000 0.5000 0.5000 Hf
0.5000 0.0000 0.0000 Cr
0.0000 0.0000 0.5000 Cr
0.0000 0.0000 0.0000 Li
0.0000 0.5000 0.0000 B
```

Output
space group = P4/mmm (123)
crystal system = tetragonal
calculated formation energy = 0.9699 eV/atom

---

- Which formula does entry 5 have?
  LiHfCr2B

---

- The highest calculated formation energy belongs to which entry?
  LiHfCr2B